1.
# Pr2NdDy4Tm GGA-PBE relaxed
data_Pr2NdDy4Tm
_chemical_formula_sum 'Pr4 Nd2 Dy8 Tm2'
_cell_length_a 9.5500
_cell_length_b 9.5499
_cell_length_c 11.9001
_cell_angle_alpha 128.54
_cell_angle_beta 128.54
_cell_angle_gamma 88.16
_space_group_name_H-M_alt 'P 1'
_space_group_IT_number 1
loop_
_space_group_symop_operation_xyz
'x,y,z'
loop_
_atom_site_label
_atom_site_type_symbol
_atom_site_fract_x
_atom_site_fract_y
_atom_site_fract_z
Pr1 Pr 0.5000 0.0000 0.5000
Pr2 Pr 0.5000 0.5000 0.0000
Nd1 Nd 0.0000 0.5000 0.5000
Tm1 Tm 0.0000 0.0000 0.0000
Dy1 Dy 0.2573 0.7424 0.5002
Dy2 Dy 0.7427 0.2576 0.4998
Nd2 Nd 0.0000 0.5000 0.0000
Dy3 Dy 0.7490 0.7488 0.5054
Dy4 Dy 0.7576 0.2427 0.9998
Dy5 Dy 0.2424 0.7573 0.0002
Tm2 Tm 0.5000 0.5000 0.5000
Pr3 Pr 0.5000 0.0000 0.0000
Dy6 Dy 0.2488 0.2490 0.0054
Dy7 Dy 0.7512 0.7510 0.9946
Dy8 Dy 0.2510 0.2512 0.4946
Pr4 Pr 0.0000 0.0000 0.5000
# formation enthalpy at 0 K	0.41	eV per atom
# uncorrected energy	-67.9	eV for the cell shown

---

2.
# PrNd2Dy2Y GGA-PBE relaxed
data_PrNd2Dy2Y
_chemical_formula_sum 'Pr2 Nd4 Dy4 Y2'
_cell_length_a 3.5296
_cell_length_b 16.5997
_cell_length_c 7.0151
_cell_angle_alpha 90.00
_cell_angle_beta 90.00
_cell_angle_gamma 90.00
_space_group_name_H-M_alt 'P 1'
_space_group_IT_number 1
loop_
_space_group_symop_operation_xyz
'x,y,z'
loop_
_atom_site_label
_atom_site_type_symbol
_atom_site_fract_x
_atom_site_fract_y
_atom_site_fract_z
Dy1 Dy 0.5000 0.1540 0.2477
Pr1 Pr 0.0000 0.0000 0.0000
Dy2 Dy 0.0000 0.6540 0.2523
Pr2 Pr 0.5000 0.5000 0.5000
Nd1 Nd 0.0000 0.3391 0.2469
Dy3 Dy 0.0000 0.3460 0.7477
Dy4 Dy 0.5000 0.8460 0.7523
Y1 Y 0.5000 0.5000 0.0000
Nd2 Nd 0.0000 0.6609 0.7531
Nd3 Nd 0.5000 0.1609 0.7469
Nd4 Nd 0.5000 0.8391 0.2531
Y2 Y 0.0000 0.0000 0.5000
# formation enthalpy at 0 K	0.15	eV per atom
# uncorrected energy	-58.2	eV for the cell shown

---

3.
# Pr6NdDy3Y2 GGA-PBE relaxed
data_Pr6NdDy3Y2
_chemical_formula_sum 'Pr6 Nd1 Dy3 Y2'
_cell_length_a 6.3363
_cell_length_b 6.3363
_cell_length_c 11.9756
_cell_angle_alpha 95.04
_cell_angle_beta 95.04
_cell_angle_gamma 120.00
_space_group_name_H-M_alt 'P 1'
_space_group_IT_number 1
loop_
_space_group_symop_operation_xyz
'x,y,z'
loop_
_atom_site_label
_atom_site_type_symbol
_atom_site_fract_x
_atom_site_fract_y
_atom_site_fract_z
Pr1 Pr 0.4175 0.0842 0.2522
Pr2 Pr 0.2489 0.2489 0.7481
Pr3 Pr 0.0842 0.4175 0.2522
Dy1 Dy 0.8332 0.1668 0.5000
Pr4 Pr 0.7511 0.7511 0.2519
Nd1 Nd 0.0000 0.0000 0.0000
Dy2 Dy 0.5000 0.5000 0.5000
Pr5 Pr 0.9158 0.5825 0.7478
Y1 Y 0.3334 0.6666 0.0000
Dy3 Dy 0.1668 0.8332 0.5000
Y2 Y 0.6666 0.3334 0.0000
Pr6 Pr 0.5825 0.9158 0.7478
# formation enthalpy at 0 K	0.01	eV per atom
# uncorrected energy	-60.1	eV for the cell shown

---

4.
# Pr5NdDy2Y GGA-PBE relaxed
data_Pr5NdDy2Y
_chemical_formula_sum 'Pr10 Nd2 Dy4 Y2'
_cell_length_a 5.7108
_cell_length_b 10.7461
_cell_length_c 10.7992
_cell_angle_alpha 90.00
_cell_angle_beta 90.00
_cell_angle_gamma 105.41
_space_group_name_H-M_alt 'P 1'
_space_group_IT_number 1
loop_
_space_group_symop_operation_xyz
'x,y,z'
loop_
_atom_site_label
_atom_site_type_symbol
_atom_site_fract_x
_atom_site_fract_y
_atom_site_fract_z
Pr1 Pr 0.9852 0.9704 0.5197
Dy1 Dy 0.8839 0.7679 0.8130
Nd1 Nd 0.2010 0.4020 0.0096
Dy2 Dy 0.8886 0.7771 0.2383
Pr2 Pr 0.3891 0.7782 0.0248
Dy3 Dy 0.1114 0.2229 0.7383
Y1 Y 0.5920 0.1840 0.9604
Y2 Y 0.4080 0.8160 0.4604
Pr3 Pr 0.0148 0.0296 0.0197
Pr4 Pr 0.6109 0.2218 0.5248
Dy4 Dy 0.1161 0.2321 0.3130
Pr5 Pr 0.2795 0.5591 0.3103
Pr6 Pr 0.7205 0.4409 0.8103
Pr7 Pr 0.2951 0.5902 0.7036
Nd2 Nd 0.7990 0.5980 0.5096
Pr8 Pr 0.4809 0.9618 0.7444
Pr9 Pr 0.7049 0.4098 0.2036
Pr10 Pr 0.5191 0.0382 0.2444
# formation enthalpy at 0 K	0.14	eV per atom
# uncorrected energy	-86.1	eV for the cell shown

---

5.
# PrNdDyY2 GGA-PBE relaxed
data_PrNdDyY2
_chemical_formula_sum 'Pr2 Nd2 Dy2 Y4'
_cell_length_a 7.2076
_cell_length_b 8.5153
_cell_length_c 7.2095
_cell_angle_alpha 126.20
_cell_angle_beta 90.00
_cell_angle_gamma 90.00
_space_group_name_H-M_alt 'P 1'
_space_group_IT_number 1
loop_
_space_group_symop_operation_xyz
'x,y,z'
loop_
_atom_site_label
_atom_site_type_symbol
_atom_site_fract_x
_atom_site_fract_y
_atom_site_fract_z
Pr1 Pr 0.2500 0.7314 0.4627
Y1 Y 0.0000 0.3132 0.0000
Y2 Y 0.5000 0.3132 0.0000
Nd1 Nd 0.7500 0.0007 0.0014
Dy1 Dy 0.7500 0.7235 0.4469
Nd2 Nd 0.2500 0.9993 0.9986
Pr2 Pr 0.7500 0.2686 0.5373
Dy2 Dy 0.2500 0.2765 0.5531
Y3 Y 0.0000 0.6868 0.0000
Y4 Y 0.5000 0.6868 0.0000
# formation enthalpy at 0 K	0.38	eV per atom
# uncorrected energy	-50.4	eV for the cell shown

---

6.
# PrNdDy3Y GGA-PBE relaxed
data_PrNdDy3Y
_chemical_formula_sum 'Pr2 Nd2 Dy6 Y2'
_cell_length_a 5.0943
_cell_length_b 8.0488
_cell_length_c 10.1938
_cell_angle_alpha 90.00
_cell_angle_beta 90.00
_cell_angle_gamma 108.45
_space_group_name_H-M_alt 'P 1'
_space_group_IT_number 1
loop_
_space_group_symop_operation_xyz
'x,y,z'
loop_
_atom_site_label
_atom_site_type_symbol
_atom_site_fract_x
_atom_site_fract_y
_atom_site_fract_z
Nd1 Nd 0.5009 0.0018 0.7500
Pr1 Pr 0.0000 0.0000 0.0000
Y1 Y 0.8315 0.6630 0.7501
Y2 Y 0.1685 0.3370 0.2499
Nd2 Nd 0.4991 0.9982 0.2500
Dy1 Dy 0.1681 0.3362 0.7500
Pr2 Pr 0.0000 0.0000 0.5000
Dy2 Dy 0.6685 0.3371 0.5000
Dy3 Dy 0.3314 0.6629 0.0000
Dy4 Dy 0.8319 0.6638 0.2500
Dy5 Dy 0.6686 0.3371 0.0000
Dy6 Dy 0.3315 0.6629 0.5000
# formation enthalpy at 0 K	0.02	eV per atom
# uncorrected energy	-59.4	eV for the cell shown

---

7.
# Pr3NdDyY GGA-PBE relaxed
data_Pr3NdDyY
_chemical_formula_sum 'Pr6 Nd2 Dy2 Y2'
_cell_length_a 6.0661
_cell_length_b 6.4271
_cell_length_c 12.0701
_cell_angle_alpha 90.00
_cell_angle_beta 90.00
_cell_angle_gamma 118.16
_space_group_name_H-M_alt 'P 1'
_space_group_IT_number 1
loop_
_space_group_symop_operation_xyz
'x,y,z'
loop_
_atom_site_label
_atom_site_type_symbol
_atom_site_fract_x
_atom_site_fract_y
_atom_site_fract_z
Dy1 Dy 0.4887 0.9773 0.7500
Pr1 Pr 0.6654 0.3309 0.9895
Pr2 Pr 0.8309 0.6617 0.2500
Nd1 Nd 0.0000 0.0000 0.5000
Nd2 Nd 0.0000 0.0000 0.0000
Y1 Y 0.1575 0.3150 0.2500
Y2 Y 0.8425 0.6850 0.7500
Pr3 Pr 0.6654 0.3309 0.5105
Dy2 Dy 0.5113 0.0227 0.2500
Pr4 Pr 0.3346 0.6691 0.0105
Pr5 Pr 0.3346 0.6691 0.4895
Pr6 Pr 0.1691 0.3382 0.7500
# formation enthalpy at 0 K	0.11	eV per atom
# uncorrected energy	-59.0	eV for the cell shown

---

8.
# Pr2Nd2DyY2 GGA-PBE relaxed
data_Pr2Nd2DyY2
_chemical_formula_sum 'Pr2 Nd2 Dy1 Y2'
_cell_length_a 5.7876
_cell_length_b 5.7876
_cell_length_c 8.9292
_cell_angle_alpha 71.09
_cell_angle_beta 71.09
_cell_angle_gamma 60.00
_space_group_name_H-M_alt 'P 1'
_space_group_IT_number 1
loop_
_space_group_symop_operation_xyz
'x,y,z'
loop_
_atom_site_label
_atom_site_type_symbol
_atom_site_fract_x
_atom_site_fract_y
_atom_site_fract_z
Nd1 Nd 0.7156 0.7156 0.8531
Nd2 Nd 0.2844 0.2844 0.1469
Pr1 Pr 0.8611 0.8611 0.4167
Pr2 Pr 0.1389 0.1389 0.5833
Y1 Y 0.4280 0.4280 0.7159
Dy1 Dy 0.0000 0.0000 0.0000
Y2 Y 0.5720 0.5720 0.2841
# formation enthalpy at 0 K	0.12	eV per atom
# uncorrected energy	-35.8	eV for the cell shown

---

M_tot readings, ordered: 0.02; 0.00; 0.00; 0.00; 0.00; 0.00; 0.00; 0.00 μB per cell